No. 1
Computed, not measured: an optimized crystal structure of BaSc2Tl at the GGA-PBEsol level of DFT.

Cell: 4.761 4.761 5.889 Å, 113.84 113.84 90.00°
Fractional coordinates of all 4 atoms:
Ba  0.250  0.750  0.500
Sc  0.000  0.000  0.000
Sc  0.750  0.250  0.500
Tl  0.500  0.500  0.000

Values from the calculation:
ΔH_f (0 K)   0.341 eV per formula unit
Energy   -4.41 eV/atom

No. 2
Computed, not measured: an optimized crystal structure of BaSc2Tl at the GGA-PBEsol level of DFT.

Cell: 3.706 5.255 6.580 Å, 113.53 106.36 90.00°
Fractional coordinates of all 4 atoms:
Ba  0.230  0.730  0.459
Sc  0.016  0.016  0.033
Sc  0.778  0.278  0.556
Tl  0.476  0.476  0.952

Values from the calculation:
ΔH_f (0 K)   0.315 eV per formula unit
Energy   -4.42 eV/atom

No. 3
Computed, not measured: an optimized crystal structure of BaSc2Tl at the GGA-PBEsol level of DFT.

Cell: 4.689 4.858 4.858 Å, 90.00 90.00 90.00°
Fractional coordinates of all 4 atoms:
Ba  0.500  0.000  0.000
Sc  0.000  0.000  0.500
Sc  0.000  0.500  0.000
Tl  0.500  0.500  0.500

Values from the calculation:
ΔH_f (0 K)   0.379 eV per formula unit
Energy   -4.40 eV/atom

No. 4
Computed, not measured: an optimized crystal structure of BaSc2Tl at the GGA-PBEsol level of DFT.

Cell: 5.436 5.436 5.436 Å, 60.00 60.00 60.00°
Fractional coordinates of all 4 atoms:
Ba  0.500  0.500  0.500
Sc  0.000  0.000  0.000
Sc  0.750  0.750  0.750
Tl  0.250  0.250  0.250

Values from the calculation:
ΔH_f (0 K)   0.470 eV per formula unit
Energy   -4.38 eV/atom

No. 5
Computed, not measured: an optimized crystal structure of BaSc2W at the GGA-PBEsol level of DFT.

Cell: 3.155 3.155 11.297 Å, 81.97 81.97 60.00°
Fractional coordinates of all 4 atoms:
Ba  0.242  0.242  0.273
Sc  0.009  0.009  0.974
Sc  0.758  0.758  0.726
W  0.491  0.491  0.527

Values from the calculation:
ΔH_f (0 K)   3.163 eV per formula unit
Energy   -6.50 eV/atom

No. 6
Computed, not measured: an optimized crystal structure of Ba4ScW at the GGA-PBEsol level of DFT.

Cell: 6.820 6.820 6.820 Å, 60.00 60.00 60.00°
Fractional coordinates of all 6 atoms:
Ba  0.374  0.374  0.374
Ba  0.374  0.374  0.877
Ba  0.877  0.374  0.374
Ba  0.374  0.877  0.374
Sc  0.750  0.750  0.750
W  0.000  0.000  0.000

Values from the calculation:
ΔH_f (0 K)   8.418 eV per formula unit
Energy   -3.43 eV/atom

No. 7
Computed, not measured: an optimized crystal structure of BaSc2W at the GGA-PBEsol level of DFT.

Cell: 3.119 4.916 7.049 Å, 90.00 99.53 90.00°
Fractional coordinates of all 4 atoms:
Ba  0.284  0.500  0.720
Sc  0.001  0.000  0.091
Sc  0.614  0.500  0.269
W  0.602  0.000  0.420

Values from the calculation:
ΔH_f (0 K)   2.556 eV per formula unit
Energy   -6.65 eV/atom

No. 8
Computed, not measured: an optimized crystal structure of BaSc2W at the GGA-PBEsol level of DFT.

Cell: 3.282 3.293 9.559 Å, 90.00 90.04 90.00°
Fractional coordinates of all 4 atoms:
Ba  0.500  0.500  0.500
Sc  0.999  0.000  0.831
Sc  0.001  0.000  0.169
W  0.500  0.500  0.000

Values from the calculation:
ΔH_f (0 K)   1.587 eV per formula unit
Energy   -6.89 eV/atom

No. 9
Computed, not measured: an optimized crystal structure of BaZrSc at the GGA-PBEsol level of DFT.

Cell: 5.017 5.017 5.017 Å, 60.00 60.00 60.00°
Fractional coordinates of all 3 atoms:
Ba  0.250  0.250  0.250
Sc  0.000  0.000  0.000
Zr  0.500  0.500  0.500

Values from the calculation:
ΔH_f (0 K)   4.071 eV per formula unit
Energy   -4.59 eV/atom

No. 10
Computed, not measured: an optimized crystal structure of BaZrSc2 at the GGA-PBEsol level of DFT.

Cell: 3.366 3.366 11.303 Å, 81.44 81.44 60.00°
Fractional coordinates of all 4 atoms:
Ba  0.000  0.000  0.000
Sc  0.239  0.239  0.283
Sc  0.761  0.761  0.717
Zr  0.500  0.500  0.500

Values from the calculation:
ΔH_f (0 K)   1.001 eV per formula unit
Energy   -5.86 eV/atom

No. 11
Computed, not measured: an optimized crystal structure of BaZrSc at the GGA-PBEsol level of DFT.

Cell: 3.432 4.466 6.425 Å, 110.33 105.49 90.00°
Fractional coordinates of all 3 atoms:
Ba  0.000  0.000  0.000
Sc  0.694  0.694  0.389
Zr  0.306  0.306  0.612

Values from the calculation:
ΔH_f (0 K)   1.359 eV per formula unit
Energy   -5.49 eV/atom

No. 12
Computed, not measured: an optimized crystal structure of BaZrSc2 at the GGA-PBEsol level of DFT.

Cell: 3.438 5.645 6.559 Å, 115.49 105.19 90.00°
Fractional coordinates of all 4 atoms:
Ba  0.500  0.000  0.000
Sc  0.725  0.725  0.449
Sc  0.275  0.275  0.551
Zr  0.000  0.500  0.000

Values from the calculation:
ΔH_f (0 K)   1.728 eV per formula unit
Energy   -5.68 eV/atom

No. 13
Computed, not measured: an optimized crystal structure of Ba2Se at the GGA-PBEsol level of DFT.

Cell: 4.003 4.003 15.601 Å, 97.37 97.37 90.00°
Fractional coordinates of all 6 atoms:
Ba  0.810  0.310  0.619
Ba  0.440  0.440  0.881
Ba  0.690  0.190  0.381
Ba  0.560  0.560  0.119
Se  0.250  0.750  0.500
Se  0.000  0.000  0.000

Values from the calculation:
ΔE_f (raw)   -1.1513 eV per atom
Energy   -3.87 eV/atom

No. 14
Computed, not measured: an optimized crystal structure of BaSe3 at the GGA-PBEsol level of DFT.

Cell: 4.150 7.255 7.255 Å, 90.00 90.00 90.00°
Fractional coordinates of all 8 atoms:
Ba  0.000  0.000  0.000
Ba  0.000  0.500  0.500
Se  0.165  0.000  0.500
Se  0.835  0.500  0.000
Se  0.494  0.192  0.692
Se  0.494  0.808  0.308
Se  0.506  0.692  0.808
Se  0.506  0.308  0.192

Values from the calculation:
ΔE_f (raw)   -1.0585 eV per atom
Energy   -4.48 eV/atom

No. 15
Computed, not measured: an optimized crystal structure of BaSe4 at the GGA-PBEsol level of DFT.

Cell: 5.406 6.075 5.406 Å, 116.42 90.00 116.42°
Fractional coordinates of all 5 atoms:
Ba  0.000  0.000  0.000
Se  0.750  0.500  0.250
Se  0.250  0.500  0.750
Se  0.616  0.233  0.616
Se  0.384  0.767  0.384

Values from the calculation:
ΔE_f (raw)   -0.4242 eV per atom
Energy   -3.93 eV/atom

No. 16
Computed, not measured: an optimized crystal structure of BaSe at the GGA-PBEsol level of DFT.

Cell: 4.651 4.651 4.651 Å, 60.00 60.00 60.00°
Fractional coordinates of all 2 atoms:
Ba  0.000  0.000  0.000
Se  0.500  0.500  0.500

Values from the calculation:
ΔE_f (raw)   -2.0320 eV per atom
Energy   -5.03 eV/atom

No. 17
Computed, not measured: an optimized crystal structure of Ba2Se at the GGA-PBEsol level of DFT.

Cell: 4.033 4.033 8.034 Å, 104.54 104.54 90.00°
Fractional coordinates of all 3 atoms:
Ba  0.378  0.378  0.757
Ba  0.622  0.622  0.243
Se  0.000  0.000  0.000

Values from the calculation:
ΔE_f (raw)   -1.1807 eV per atom
Energy   -3.90 eV/atom

No. 18
Computed, not measured: an optimized crystal structure of Ba2Se at the GGA-PBEsol level of DFT.

Cell: 4.209 7.746 7.763 Å, 90.00 105.73 90.00°
Fractional coordinates of all 6 atoms:
Ba  0.739  0.881  0.477
Ba  0.261  0.381  0.523
Ba  0.986  0.747  0.972
Ba  0.014  0.247  0.028
Se  0.610  0.537  0.219
Se  0.390  0.037  0.781

Values from the calculation:
ΔE_f (raw)   -1.2370 eV per atom
Energy   -3.95 eV/atom

No. 19
Computed, not measured: an optimized crystal structure of BaSe5 at the GGA-PBEsol level of DFT.

Cell: 4.020 6.570 6.570 Å, 120.00 90.00 90.00°
Fractional coordinates of all 6 atoms:
Ba  0.500  0.000  0.000
Se  0.000  0.412  0.412
Se  0.000  0.588  0.000
Se  0.000  0.000  0.588
Se  0.500  0.333  0.667
Se  0.500  0.667  0.333

Values from the calculation:
ΔE_f (raw)   -0.4049 eV per atom
Energy   -3.97 eV/atom

No. 20
Computed, not measured: an optimized crystal structure of BaSe at the GGA-PBEsol level of DFT.

Cell: 4.090 4.469 4.469 Å, 120.00 90.00 90.00°
Fractional coordinates of all 2 atoms:
Ba  0.000  0.000  0.000
Se  0.500  0.333  0.667

Values from the calculation:
ΔE_f (raw)   -1.9036 eV per atom
Energy   -4.90 eV/atom

No. 21
Computed, not measured: an optimized crystal structure of BaSe at the GGA-PBEsol level of DFT.

Cell: 4.244 7.859 8.159 Å, 118.79 105.07 90.00°
Fractional coordinates of all 6 atoms:
Ba  0.847  0.582  0.694
Ba  0.000  0.246  0.000
Ba  0.153  0.888  0.306
Se  0.350  0.282  0.700
Se  0.500  0.920  0.000
Se  0.650  0.581  0.300

Values from the calculation:
ΔE_f (raw)   -1.8503 eV per atom
Energy   -4.85 eV/atom

No. 22
Computed, not measured: an optimized crystal structure of Ba2Se at the GGA-PBEsol level of DFT.

Cell: 3.629 5.555 5.555 Å, 120.00 90.00 90.00°
Fractional coordinates of all 3 atoms:
Ba  0.500  0.667  0.333
Ba  0.500  0.333  0.667
Se  0.000  0.000  0.000

Values from the calculation:
ΔE_f (raw)   -0.4572 eV per atom
Energy   -3.17 eV/atom

No. 23
Computed, not measured: an optimized crystal structure of BaSe3 at the GGA-PBEsol level of DFT.

Cell: 7.454 7.596 9.611 Å, 90.00 90.00 90.00°
Fractional coordinates of all 16 atoms:
Ba  0.750  0.812  0.449
Ba  0.250  0.688  0.949
Ba  0.750  0.312  0.051
Ba  0.250  0.188  0.551
Se  0.750  0.101  0.740
Se  0.250  0.399  0.240
Se  0.750  0.601  0.760
Se  0.250  0.899  0.260
Se  0.995  0.103  0.285
Se  0.005  0.397  0.785
Se  0.505  0.603  0.215
Se  0.495  0.897  0.715
Se  0.005  0.897  0.715
Se  0.995  0.603  0.215
Se  0.495  0.397  0.785
Se  0.505  0.103  0.285

Values from the calculation:
ΔE_f (raw)   -0.9605 eV per atom
Energy   -4.39 eV/atom

No. 24
Computed, not measured: an optimized crystal structure of Ba4Se at the GGA-PBEsol level of DFT.

Cell: 6.663 6.663 6.663 Å, 109.47 109.47 109.47°
Fractional coordinates of all 5 atoms:
Ba  0.000  0.000  0.500
Ba  0.000  0.500  0.000
Ba  0.500  0.000  0.000
Ba  0.500  0.500  0.500
Se  0.000  0.000  0.000

Values from the calculation:
ΔE_f (raw)   -0.5819 eV per atom
Energy   -3.07 eV/atom

No. 25
Computed, not measured: an optimized crystal structure of BaSe2 at the GGA-PBEsol level of DFT.

Cell: 4.382 4.382 10.399 Å, 102.16 102.16 90.00°
Fractional coordinates of all 6 atoms:
Ba  0.250  0.750  0.500
Ba  0.000  0.000  0.000
Se  0.812  0.312  0.624
Se  0.438  0.438  0.876
Se  0.688  0.188  0.376
Se  0.562  0.562  0.124

Values from the calculation:
ΔE_f (raw)   -1.3273 eV per atom
Energy   -4.61 eV/atom

No. 26
Computed, not measured: an optimized crystal structure of BaSe2 at the GGA-PBEsol level of DFT.

Cell: 4.391 4.391 5.897 Å, 111.86 111.86 90.00°
Fractional coordinates of all 3 atoms:
Ba  0.000  0.000  0.000
Se  0.380  0.380  0.760
Se  0.620  0.620  0.240

Values from the calculation:
ΔE_f (raw)   -1.2830 eV per atom
Energy   -4.57 eV/atom

No. 27
Computed, not measured: an optimized crystal structure of BaSe2 at the GGA-PBEsol level of DFT.

Cell: 4.531 7.042 6.872 Å, 100.02 109.25 90.00°
Fractional coordinates of all 6 atoms:
Ba  0.404  0.731  0.808
Ba  0.596  0.269  0.192
Se  0.084  0.907  0.169
Se  0.847  0.392  0.693
Se  0.153  0.608  0.307
Se  0.916  0.093  0.831

Values from the calculation:
ΔE_f (raw)   -1.2302 eV per atom
Energy   -4.51 eV/atom

No. 28
Computed, not measured: an optimized crystal structure of BaSe2 at the GGA-PBEsol level of DFT.

Cell: 4.890 5.359 8.670 Å, 78.92 73.62 62.86°
Fractional coordinates of all 6 atoms:
Ba  0.879  0.750  0.250
Ba  0.121  0.250  0.750
Se  0.534  0.719  0.973
Se  0.226  0.781  0.527
Se  0.774  0.219  0.473
Se  0.466  0.281  0.027

Values from the calculation:
ΔE_f (raw)   -1.3786 eV per atom
Energy   -4.66 eV/atom

No. 29
Computed, not measured: an optimized crystal structure of Ba2SiSe4 at the GGA-PBEsol level of DFT.

Cell: 6.857 6.976 9.169 Å, 90.00 109.13 90.00°
Fractional coordinates of all 14 atoms:
Ba  0.211  0.750  0.543
Ba  0.789  0.250  0.457
Ba  0.291  0.750  0.080
Ba  0.709  0.250  0.920
Se  0.645  0.750  0.452
Se  0.355  0.250  0.548
Se  0.591  0.750  0.862
Se  0.409  0.250  0.138
Se  0.986  0.508  0.224
Se  0.014  0.008  0.776
Se  0.014  0.492  0.776
Se  0.986  0.992  0.224
Si  0.801  0.750  0.714
Si  0.199  0.250  0.286

Values from the calculation:
ΔE_f (raw)   -1.4544 eV per atom
Energy   -5.09 eV/atom